Version a
Compound: Zr2TiCuH
Source: the Alexandria database
Functional: GGA-PBE
Structure: relaxed

a = 4.3805 Å, b = 4.3805 Å, c = 4.0154 Å
α = 90.00°, β = 90.00°, γ = 90.00°
With the nearest neighbours (Å) after each atom.
Fractional positions:
H1 0.0000 0.0000 0.0000  2 Ti 2.01, 4 Zr 2.19
Cu1 0.5000 0.5000 0.5000  8 Zr 2.97, 4 Ti 3.10
Zr1 0.0000 0.5000 0.0000  2 H 2.19
Zr2 0.5000 0.0000 0.0000  2 H 2.19
Ti1 0.0000 0.0000 0.5000  2 H 2.01

Calculated values
The space group is P4/mmm. The value obtained for the volume is 77.0 Å³/cell.

=====

Version b
Compound: Zr2TiCuH
Source: the Alexandria database
Functional: GGA-PBE
Structure: relaxed

a = 4.4032 Å, b = 4.4032 Å, c = 3.9362 Å
α = 90.00°, β = 90.00°, γ = 90.00°
With the nearest neighbours (Å) after each atom.
Fractional positions:
H1 0.0000 0.0000 0.0000  2 Cu 1.97, 4 Zr 2.20
Cu1 0.0000 0.0000 0.5000  2 H 1.97
Zr1 0.0000 0.5000 0.0000  2 H 2.20
Zr2 0.5000 0.0000 0.0000  2 H 2.20
Ti1 0.5000 0.5000 0.5000  8 Zr 2.95, 4 Cu 3.11

Calculated values
The space group is P4/mmm. The value obtained for the volume is 76.3 Å³/cell.

=====

Ranking the structures above by energy, version a is first and the second is 2.9 kJ/mol of atoms behind.